Below is a relaxed structure of Ta2Al2As, with properties calculated at the GGA-PBE level.

Computed properties:
formation energy from the elements	-2.27	kcal/mol of atoms

```
data_Ta2Al2As
_cell_length_a 6.6794
_cell_length_b 6.6794
_cell_length_c 4.0476
_cell_angle_alpha 90.00
_cell_angle_beta 90.00
_cell_angle_gamma 90.00
_space_group_name_H-M_alt 'P 4/m b m'
_space_group_IT_number 127
_space_group_name_Hall '-P 4 2ab'
loop_
_atom_site_label
_atom_site_fract_x
_atom_site_fract_y
_atom_site_fract_z
_atom_site_occupancy
Ta1 0.1529 0.3471 0.0000 1
Al1 0.1449 0.6449 0.5000 1
As1 0.0000 0.0000 0.0000 1
```